1.
# MoHRu2Pt, optimized geometry, DFT GGA-PBE
data_MoHRu2Pt
_chemical_formula_sum 'Mo1 H1 Ru2 Pt1'
_cell_length_a 3.930
_cell_length_b 3.930
_cell_length_c 3.936
_cell_angle_alpha 90.00
_cell_angle_beta 90.00
_cell_angle_gamma 90.00
_space_group_name_H-M_alt 'P 1'
_space_group_IT_number 1
_space_group_name_Hall 'P 1'
loop_
_atom_site_label
_atom_site_fract_x
_atom_site_fract_y
_atom_site_fract_z
Mo1 0.000 0.000 0.000
H1 0.000 0.000 0.500
Ru1 0.000 0.500 0.500
Ru2 0.500 0.000 0.500
Pt1 0.500 0.500 0.000
# Magnetic moment   0.00 μB/f.u.
# N(E_F)   2.64 states/eV/cell
# Total energy   -0.5746 Ry per atom
# Polymorph energy (0 for the lowest one)   0.000 eV per atom

=====

2.
# KPm6S8, optimized geometry, DFT GGA-PBE
data_KPm6S8
_chemical_formula_sum 'K1 Pm6 S8'
_cell_length_a 8.052
_cell_length_b 8.052
_cell_length_c 8.052
_cell_angle_alpha 95.30
_cell_angle_beta 95.30
_cell_angle_gamma 95.30
_space_group_name_H-M_alt 'P 1'
_space_group_IT_number 1
_space_group_name_Hall 'P 1'
loop_
_atom_site_label
_atom_site_fract_x
_atom_site_fract_y
_atom_site_fract_z
K1 0.000 0.000 0.000
Pm1 0.190 0.373 0.562
Pm2 0.373 0.562 0.190
Pm3 0.438 0.810 0.627
Pm4 0.562 0.190 0.373
Pm5 0.627 0.438 0.810
Pm6 0.810 0.627 0.438
S1 0.150 0.677 0.412
S2 0.245 0.245 0.245
S3 0.323 0.588 0.850
S4 0.412 0.150 0.677
S5 0.588 0.850 0.323
S6 0.677 0.412 0.150
S7 0.755 0.755 0.755
S8 0.850 0.323 0.588
# Magnetic moment   0.00 μB/f.u.
# N(E_F)   8.56 states/eV/cell
# Total energy   -0.4382 Ry per atom

=====

3.
# Be2BiBC, optimized geometry, DFT GGA-PBE
data_Be2BiBC
_chemical_formula_sum 'Be2 Bi1 B1 C1'
_cell_length_a 3.557
_cell_length_b 3.557
_cell_length_c 5.490
_cell_angle_alpha 90.00
_cell_angle_beta 90.00
_cell_angle_gamma 90.00
_space_group_name_H-M_alt 'P 1'
_space_group_IT_number 1
_space_group_name_Hall 'P 1'
loop_
_atom_site_label
_atom_site_fract_x
_atom_site_fract_y
_atom_site_fract_z
Be1 0.000 0.500 0.000
Be2 0.500 0.000 0.000
Bi1 0.000 0.000 0.500
B1 0.000 0.000 0.000
C1 0.500 0.500 0.500
# Magnetic moment   0.00 μB/f.u.
# N(E_F)   2.28 states/eV/cell
# Total energy   -0.3129 Ry per atom
# Energy relative to the elements   1.1891 eV per atom

=====

4.
# TcMoSe2N, optimized geometry, DFT GGA-PBE
data_TcMoSe2N
_chemical_formula_sum 'Tc1 Mo1 Se2 N1'
_cell_length_a 5.049
_cell_length_b 5.049
_cell_length_c 3.681
_cell_angle_alpha 90.00
_cell_angle_beta 90.00
_cell_angle_gamma 90.00
_space_group_name_H-M_alt 'P 1'
_space_group_IT_number 1
_space_group_name_Hall 'P 1'
loop_
_atom_site_label
_atom_site_fract_x
_atom_site_fract_y
_atom_site_fract_z
Tc1 0.000 0.000 0.000
Mo1 0.500 0.500 0.500
Se1 0.000 0.500 0.000
Se2 0.500 0.000 0.000
N1 0.000 0.000 0.500
# Magnetic moment   3.49 μB/f.u.
# N(E_F)   3.29 states/eV/cell
# Total energy   -0.4866 Ry per atom
# Polymorph energy (0 for the lowest one)   0.000 eV per atom

=====

5.
# Rb2TcCl5, optimized geometry, DFT GGA-PBE
data_Rb2TcCl5
_chemical_formula_sum 'Rb2 Tc1 Cl5'
_cell_length_a 7.250
_cell_length_b 7.250
_cell_length_c 4.941
_cell_angle_alpha 90.21
_cell_angle_beta 90.21
_cell_angle_gamma 90.21
_space_group_name_H-M_alt 'P 1'
_space_group_IT_number 1
_space_group_name_Hall 'P 1'
loop_
_atom_site_label
_atom_site_fract_x
_atom_site_fract_y
_atom_site_fract_z
Rb1 0.000 0.500 0.000
Rb2 0.500 0.000 0.000
Tc1 0.000 0.000 0.500
Cl1 0.000 0.000 0.000
Cl2 0.235 0.765 0.500
Cl3 0.236 0.236 0.502
Cl4 0.764 0.764 0.498
Cl5 0.765 0.235 0.500
# Magnetic moment   2.49 μB/f.u.
# N(E_F)   3.76 states/eV/cell
# Total energy   -0.2933 Ry per atom

=====

6.
# AcEuMgTl, optimized geometry, DFT GGA-PBE
data_AcEuMgTl
_chemical_formula_sum 'Ac1 Eu1 Mg1 Tl1'
_cell_length_a 5.747
_cell_length_b 5.747
_cell_length_c 5.747
_cell_angle_alpha 60.00
_cell_angle_beta 60.00
_cell_angle_gamma 60.00
_space_group_name_H-M_alt 'P 1'
_space_group_IT_number 1
_space_group_name_Hall 'P 1'
loop_
_atom_site_label
_atom_site_fract_x
_atom_site_fract_y
_atom_site_fract_z
Ac1 0.000 0.000 0.000
Eu1 0.500 0.500 0.500
Mg1 0.250 0.250 0.250
Tl1 0.750 0.750 0.750
# Magnetic moment   7.31 μB/f.u.
# N(E_F)   11.32 states/eV/cell
# Total energy   -0.3557 Ry per atom
# Energy relative to the elements   -0.2538 eV per atom

=====

7.
# Dy2TlNi, optimized geometry, DFT GGA-PBE
data_Dy2TlNi
_chemical_formula_sum 'Dy2 Tl1 Ni1'
_cell_length_a 3.475
_cell_length_b 3.475
_cell_length_c 7.720
_cell_angle_alpha 90.00
_cell_angle_beta 90.00
_cell_angle_gamma 90.00
_space_group_name_H-M_alt 'P 1'
_space_group_IT_number 1
_space_group_name_Hall 'P 1'
loop_
_atom_site_label
_atom_site_fract_x
_atom_site_fract_y
_atom_site_fract_z
Dy1 0.000 0.000 0.211
Dy2 0.000 0.000 0.789
Tl1 0.500 0.500 0.500
Ni1 0.500 0.500 0.000
# Magnetic moment   0.00 μB/f.u.
# N(E_F)   4.36 states/eV/cell
# Total energy   -0.3455 Ry per atom
# Energy relative to the elements   -0.3627 eV per atom
# Polymorph energy (0 for the lowest one)   0.000 eV per atom

=====

8.
# LiTi2VIr, optimized geometry, DFT GGA-PBE
data_LiTi2VIr
_chemical_formula_sum 'Li1 Ti2 V1 Ir1'
_cell_length_a 4.358
_cell_length_b 4.358
_cell_length_c 3.869
_cell_angle_alpha 90.00
_cell_angle_beta 90.00
_cell_angle_gamma 90.00
_space_group_name_H-M_alt 'P 1'
_space_group_IT_number 1
_space_group_name_Hall 'P 1'
loop_
_atom_site_label
_atom_site_fract_x
_atom_site_fract_y
_atom_site_fract_z
Li1 0.000 0.000 0.000
Ti1 0.000 0.500 0.000
Ti2 0.500 0.000 0.000
V1 0.000 0.000 0.500
Ir1 0.500 0.500 0.500
# Magnetic moment   0.83 μB/f.u.
# N(E_F)   5.86 states/eV/cell
# Total energy   -0.4671 Ry per atom
# Energy relative to the elements   0.7817 eV per atom
# Polymorph energy (0 for the lowest one)   0.000 eV per atom